A plane-wave DFT calculation with PBE was carried out for an optimized crystal structure of LiCdO4.

Summary:
symmetry: No. 13
theoretical density: 4.46 Mg/m³

a = 4.0205 Å, b = 5.8448 Å, c = 5.8177 Å
α = 90.00°, β = 92.71°, γ = 90.00°
Element x y z (fractional)
Li 0.0000 0.1897 0.2500
Li 0.0000 0.8103 0.7500
Cd 0.5000 0.2173 0.7500
Cd 0.5000 0.7827 0.2500
O 0.1307 0.5001 0.1788
O 0.1307 0.4999 0.6788
O 0.1824 0.0048 0.9979
O 0.1824 0.9952 0.4979
O 0.8176 0.0048 0.5021
O 0.8176 0.9952 0.0021
O 0.8693 0.5001 0.3212
O 0.8693 0.4999 0.8212


A plane-wave DFT calculation with PBE was carried out for an optimized crystal structure of CuAg3.

Summary:
symmetry: No. 59
ΔH_f (0 K): 0.0679 eV/atom
theoretical density: 9.71 Mg/m³

a = 2.9043 Å, b = 3.9174 Å, c = 11.6338 Å
α = 90.00°, β = 90.00°, γ = 90.00°
Element x y z (fractional)
Cu 0.2500 0.2500 0.1844
Cu 0.7500 0.7500 0.8156
Ag 0.2500 0.2500 0.4335
Ag 0.2500 0.2500 0.6973
Ag 0.2500 0.2500 0.9357
Ag 0.7500 0.7500 0.0643
Ag 0.7500 0.7500 0.3027
Ag 0.7500 0.7500 0.5665


A plane-wave DFT calculation with PBE was carried out for an optimized crystal structure of Tm3Se2NO.

Summary:
symmetry: No. 12
theoretical density: 8.27 Mg/m³
total moment: 0.0 μB/cell

a = 7.8956 Å, b = 7.8956 Å, c = 9.5914 Å
α = 97.92°, β = 97.92°, γ = 28.11°
Element x y z (fractional)
Tm 0.0487 0.0487 0.2568
Tm 0.1935 0.1935 0.6749
Tm 0.3936 0.3936 0.0580
Tm 0.6064 0.6064 0.9420
Tm 0.8065 0.8065 0.3251
Tm 0.9513 0.9513 0.7432
Se 0.2152 0.2152 0.1487
Se 0.3699 0.3699 0.5302
Se 0.6301 0.6301 0.4698
Se 0.7848 0.7848 0.8513
N 0.0942 0.0942 0.8101
N 0.9058 0.9058 0.1899
O 0.4615 0.4615 0.8629
O 0.5385 0.5385 0.1371


A plane-wave DFT calculation with PBE was carried out for an optimized crystal structure of Pd2Se3.

Summary:
symmetry: No. 59
theoretical density: 5.84 Mg/m³

a = 5.9596 Å, b = 6.0987 Å, c = 7.0424 Å
α = 90.00°, β = 90.00°, γ = 90.00°
Element x y z (fractional)
Pd 0.0000 0.0000 0.0000
Pd 0.0000 0.5000 0.0000
Pd 0.5000 0.0000 0.0000
Pd 0.5000 0.5000 0.0000
Se 0.2500 0.0529 0.2737
Se 0.2500 0.2500 0.8042
Se 0.2500 0.4471 0.2737
Se 0.7500 0.5529 0.7263
Se 0.7500 0.7500 0.1958
Se 0.7500 0.9471 0.7263


A plane-wave DFT calculation with PBE was carried out for an optimized crystal structure of LiZr2Sn.

Summary:
symmetry: No. 216
theoretical density: 5.92 Mg/m³
total moment: 2.8 μB/cell

a = 4.9630 Å, b = 4.9630 Å, c = 4.9630 Å
α = 60.00°, β = 60.00°, γ = 60.00°
Element x y z (fractional)
Li 0.0000 0.0000 0.0000
Zr 0.2500 0.2500 0.2500
Zr 0.5000 0.5000 0.5000
Sn 0.7500 0.7500 0.7500


A plane-wave DFT calculation with PBE was carried out for an optimized crystal structure of TaSn2Au.

Summary:
symmetry: No. 216
theoretical density: 11.85 Mg/m³
total moment: 0.7 μB/cell

a = 4.9589 Å, b = 4.9589 Å, c = 4.9589 Å
α = 60.00°, β = 60.00°, γ = 60.00°
Element x y z (fractional)
Ta 0.0000 0.0000 0.0000
Sn 0.5000 0.5000 0.5000
Sn 0.7500 0.7500 0.7500
Au 0.2500 0.2500 0.2500


no.,calculated total energy (eV/atom)
1,-4.358
2,-2.980
3,-7.118
4,-4.470
5,-5.723
6,-5.281